Record 1
DFT (PBE) results for a relaxed K2SiSnS4 crystal.

abc: 11.487 11.848 7.681
angles: 90.00 131.95 90.00
Space group C2/c (No. 15)
Symmetry-distinct sites (fractional):
K 0.000 0.000 0.000 [4 per cell]
K 0.250 0.250 0.000 [4 per cell]
Si 0.000 0.500 0.000 [4 per cell]
Sn 0.250 0.250 0.500 [4 per cell]
S 0.000 0.310 0.007 [8 per cell]
S 0.192 0.496 0.443 [8 per cell]

The value obtained for the raw formation energy is -613 meV/atom. As for the crystal system: monoclinic. The spin magnetization is 0.00 μB/f.u.

---

Record 2
DFT (PBE) results for a relaxed Sm3IrRh crystal.

abc: 4.081 7.009 9.051
angles: 90.00 90.00 90.00
Space group Pmmn (No. 59, origin choice 2)
Symmetry-distinct sites (fractional):
Sm 0.250 0.015 0.170 [4 per cell]
Sm 0.250 0.250 0.549 [2 per cell]
Ir 0.250 0.750 0.663 [2 per cell]
Rh 0.250 0.250 0.892 [2 per cell]

The energy above the most stable polymorph in this dataset is 0.000 eV per atom. As for the crystal system: orthorhombic. The formation energy comes out at -0.581 eV per atom. The spin magnetization is 0.00 μB/f.u.

---

Record 3
DFT (PBE) results for a relaxed Pa6CuSe12 crystal.

abc: 12.5906 12.5906 11.2447
angles: 90.00 90.00 120.00
Space group R-3 (No. 148, hexagonal axes)
Symmetry-distinct sites (fractional):
Pa 0.0554 0.7783 0.1497 [18 per cell]
Cu 0.0000 0.0000 0.5000 [3 per cell]
Se 0.0359 0.8228 0.8899 [18 per cell]
Se 0.0483 0.8475 0.3893 [18 per cell]

The value obtained for the raw formation energy is -1180 meV/atom. As for the crystal system: trigonal. The spin magnetization is 7.07 μB/f.u.

---

Record 4
DFT (PBE) results for a relaxed Ho3SiO6 crystal.

abc: 8.954 10.938 5.360
angles: 90.00 90.00 90.00
Space group Cmc2_1 (No. 36)
Symmetry-distinct sites (fractional):
Ho 0.000 0.100 0.000 [4 per cell]
Ho 0.189 0.401 0.047 [8 per cell]
Si 0.000 0.308 0.583 [4 per cell]
O 0.000 0.283 0.279 [4 per cell]
O 0.000 0.453 0.690 [4 per cell]
O 0.145 0.244 0.731 [8 per cell]
O 0.156 0.018 0.276 [8 per cell]

The value obtained for the raw formation energy is -3199 meV/atom. As for the crystal system: orthorhombic. The spin magnetization is 0.00 μB/f.u.

---

Record 5
DFT (PBE) results for a relaxed HgIr2Br crystal.

abc: 3.0313 3.0313 26.1379
angles: 90.00 90.00 120.00
Space group R-3m (No. 166, hexagonal axes)
Symmetry-distinct sites (fractional):
Hg 0.0000 0.0000 0.0000 [3 per cell]
Ir 0.0000 0.0000 0.2461 [6 per cell]
Br 0.0000 0.0000 0.5000 [3 per cell]

The value obtained for the raw formation energy is 824 meV/atom. The energy above the most stable polymorph in this dataset is 0.402 eV per atom. As for the crystal system: trigonal. The spin magnetization is 0.00 μB/f.u.

---

Record 6
DFT (PBE) results for a relaxed TcIr3 crystal.

abc: 6.217 6.217 6.217
angles: 90.00 90.00 90.00
Space group Fm-3m (No. 225)
Symmetry-distinct sites (fractional):
Tc 0.000 0.000 0.000 [4 per cell]
Ir 0.000 0.000 0.500 [4 per cell]
Ir 0.250 0.250 0.250 [8 per cell]

As for the crystal system: cubic. The formation energy comes out at 0.484 eV per atom. The spin magnetization is 1.27 μB/f.u.

---

Record 7
DFT (PBE) results for a relaxed Mg2CN crystal.

abc: 4.373 3.418 6.294
angles: 90.00 90.03 90.00
Space group Pm (No. 6)
Symmetry-distinct sites (fractional):
Mg 0.000 0.000 0.000 [1 per cell]
Mg 0.013 0.000 0.578 [1 per cell]
Mg 0.487 0.500 0.806 [1 per cell]
Mg 0.666 0.500 0.303 [1 per cell]
C 0.348 0.000 0.287 [1 per cell]
C 0.495 0.000 0.091 [1 per cell]
N 0.492 0.000 0.487 [1 per cell]
N 0.984 0.500 0.782 [1 per cell]

The value obtained for the raw formation energy is -100 meV/atom. The energy above the most stable polymorph in this dataset is 0.105 eV per atom. As for the crystal system: monoclinic. The spin magnetization is 0.00 μB/f.u.

---

Record 8
DFT (PBE) results for a relaxed Tb6Sm3Dy2Tl crystal.

abc: 6.148 10.655 11.699
angles: 90.00 100.15 90.00
Space group C2/m (No. 12)
Symmetry-distinct sites (fractional):
Tb 0.245 0.164 0.245 [8 per cell]
Tb 0.247 0.000 0.753 [4 per cell]
Sm 0.000 0.167 0.500 [4 per cell]
Sm 0.000 0.500 0.500 [2 per cell]
Dy 0.000 0.334 0.000 [4 per cell]
Tl 0.000 0.000 0.000 [2 per cell]

As for the crystal system: monoclinic. The formation energy comes out at -0.014 eV per atom. The spin magnetization is 0.00 μB/f.u.

---

Record 9
DFT (PBE) results for a relaxed Be2BF8 crystal.

abc: 7.251 7.750 4.347
angles: 90.00 90.80 90.00
Space group C2/m (No. 12)
Symmetry-distinct sites (fractional):
Be 0.222 0.000 0.395 [4 per cell]
B 0.000 0.000 0.000 [2 per cell]
F 0.071 0.500 0.694 [4 per cell]
F 0.107 0.140 0.196 [8 per cell]
F 0.183 0.000 0.735 [4 per cell]

The value obtained for the raw formation energy is -2415 meV/atom. As for the crystal system: monoclinic. The spin magnetization is 1.04 μB/f.u.